# SmHo6Th2 PBE-GGA optimized geometry
# Energy above the most stable polymorph in this dataset in eV per atom: 0.105
# ΔE_f in eV per atom: 0.18
# Energy in eV/atom: -5.05
# Space-group type: C2/c
data_SmHo6Th2
_cell_length_a 6.7111
_cell_length_b 9.4826
_cell_length_c 9.4826
_cell_angle_alpha 84.64
_cell_angle_beta 78.95
_cell_angle_gamma 78.95
_space_group_name_H-M_alt 'P 1'
_space_group_IT_number 1
loop_
_space_group_symop_operation_xyz
'x,y,z'
loop_
_atom_site_label
_atom_site_type_symbol
_atom_site_fract_x
_atom_site_fract_y
_atom_site_fract_z
Sm1 Sm 0.2500 0.1374 0.8626
Sm2 Sm 0.7500 0.8626 0.1374
Ho1 Ho 0.4860 0.6488 0.3498
Ho2 Ho 0.0140 0.6502 0.3512
Ho3 Ho 0.5140 0.3512 0.6502
Ho4 Ho 0.9860 0.3498 0.6488
Ho5 Ho 0.7511 0.0252 0.4450
Ho6 Ho 0.7489 0.5550 0.9748
Ho7 Ho 0.2489 0.9748 0.5550
Ho8 Ho 0.2511 0.4450 0.0252
Ho9 Ho 0.2893 0.7930 0.9722
Ho10 Ho 0.2107 0.0278 0.2070
Ho11 Ho 0.7107 0.2070 0.0278
Ho12 Ho 0.7893 0.9722 0.7930
Th1 Th 0.1331 0.6518 0.6992
Th2 Th 0.3669 0.3008 0.3482
Th3 Th 0.8669 0.3482 0.3008
Th4 Th 0.6331 0.6992 0.6518